RbSr2LiAu | PBE-GGA | optimized geometry

Lattice parameters (Å, degrees): 6.1251 6.1251 6.6156 90.00 90.00 90.00
Closest atoms and distances in Å follow each position.
Sites, in units of the cell vectors:
Sr  0.5000  0.0000  0.0000  2 Au 3.06
Au  0.0000  0.0000  0.0000  4 Sr 3.06, 2 Rb 3.31
Rb  0.0000  0.0000  0.5000  2 Au 3.31
Sr  0.0000  0.5000  0.0000  2 Au 3.06
Li  0.5000  0.5000  0.5000  4 Rb 4.33, 8 Sr 4.51

ΔH_f (0 K) = -0.118 eV/atom
Space group = P4/mmm, No. 123
Energy above the most stable polymorph in this dataset = 77.0 meV per atom
Total moment = 0.0 μB per formula unit